[1]
VASP calculation (GGA-PBE) on crystalline Ac5TmZn4 at its relaxed geometry.

Energy relative to the elements in eV per atom: -0.176
V in Å³/cell: 315
ρ in g/cm³: 8.2
Crystal system: tetragonal

a = 3.909 Å, b = 3.909 Å, c = 20.649 Å
α = 90.00°, β = 90.00°, γ = 90.00°
Sites, in units of the cell vectors:
Ac 0.000 0.000 0.000
Ac 0.000 0.000 0.189
Ac 0.000 0.000 0.378
Ac 0.000 0.000 0.622
Ac 0.000 0.000 0.811
Tm 0.500 0.500 0.500
Zn 0.500 0.500 0.094
Zn 0.500 0.500 0.285
Zn 0.500 0.500 0.715
Zn 0.500 0.500 0.906

[2]
VASP calculation (GGA-PBE) on crystalline Mg3AlRe at its relaxed geometry.

Energy relative to the elements in eV per atom: 1.082
V in Å³/cell: 129
ρ in g/cm³: 3.7
Crystal system: cubic

a = 5.054 Å, b = 5.054 Å, c = 5.054 Å
α = 90.00°, β = 90.00°, γ = 90.00°
Sites, in units of the cell vectors:
Mg 0.000 0.000 0.500
Mg 0.000 0.500 0.000
Mg 0.500 0.000 0.000
Al 0.500 0.500 0.500
Re 0.000 0.000 0.000

[3]
VASP calculation (GGA-PBE) on crystalline Mn2HRuN at its relaxed geometry.

V in Å³/cell: 92
ρ in g/cm³: 4.1
Crystal system: tetragonal

a = 4.976 Å, b = 4.976 Å, c = 3.701 Å
α = 90.00°, β = 90.00°, γ = 90.00°
Sites, in units of the cell vectors:
Mn 0.000 0.500 0.000
Mn 0.500 0.000 0.000
H 0.000 0.000 0.500
Ru 0.500 0.500 0.000
N 0.500 0.500 0.500

[4]
VASP calculation (GGA-PBE) on crystalline ZrIr3Os at its relaxed geometry.

Energy relative to the elements in eV per atom: 1.222
V in Å³/cell: 105
ρ in g/cm³: 13.6
Crystal system: cubic

a = 4.719 Å, b = 4.719 Å, c = 4.719 Å
α = 90.00°, β = 90.00°, γ = 90.00°
Sites, in units of the cell vectors:
Zr 0.000 0.000 0.000
Ir 0.000 0.500 0.500
Ir 0.500 0.000 0.500
Ir 0.500 0.500 0.000
Os 0.500 0.500 0.500

[5]
VASP calculation (GGA-PBE) on crystalline VZnRuPt2 at its relaxed geometry.

Energy relative to the elements in eV per atom: 1.236
V in Å³/cell: 89
ρ in g/cm³: 11.4
Crystal system: tetragonal

a = 4.482 Å, b = 4.482 Å, c = 4.421 Å
α = 90.00°, β = 90.00°, γ = 90.00°
Sites, in units of the cell vectors:
V 0.000 0.000 0.000
Zn 0.000 0.000 0.500
Ru 0.500 0.500 0.000
Pt 0.000 0.500 0.500
Pt 0.500 0.000 0.500

[6]
VASP calculation (GGA-PBE) on crystalline Hf2FeHOs at its relaxed geometry.

V in Å³/cell: 68
ρ in g/cm³: 14.7
Crystal system: tetragonal

a = 4.529 Å, b = 4.529 Å, c = 3.319 Å
α = 90.00°, β = 90.00°, γ = 90.00°
Sites, in units of the cell vectors:
Hf 0.000 0.500 0.000
Hf 0.500 0.000 0.000
Fe 0.000 0.000 0.500
H 0.000 0.000 0.000
Os 0.500 0.500 0.500

| no. | total energy (eV per atom) |
| --- | --- |
| 1 | -3.187 |
| 2 | -3.112 |
| 3 | -6.726 |
| 4 | -8.050 |
| 5 | -5.114 |
| 6 | -9.039 |